(1)
VASP calculation (PBE) on a geometry-optimized Tl6CdSb structure.

Lattice parameters (Å, degrees): 11.4101 11.4101 6.4745 90.00 90.00 120.00
Space group R-3m (No. 166, hexagonal axes)
Unique sites:
Tl 0.0017 0.5009 0.2532 [18 per cell]
Cd 0.0000 0.0000 0.5000 [3 per cell]
Sb 0.0000 0.0000 0.0000 [3 per cell]

* E: -2.360 eV/atom
* formation energy from raw total energies: 0.045 eV per atom
* N(E_F): 13.3 states/eV/cell

---

(2)
VASP calculation (PBE) on a geometry-optimized Tl12CdSb7 structure.

Lattice parameters (Å, degrees): 14.7598 14.7598 10.0833 90.00 90.00 120.00
Space group R-3 (No. 148, hexagonal axes)
Unique sites:
Tl 0.0433 0.2674 0.0798 [18 per cell]
Tl 0.0479 0.1836 0.7648 [18 per cell]
Cd 0.0000 0.0000 0.5000 [3 per cell]
Sb 0.0000 0.0000 0.0000 [3 per cell]
Sb 0.0797 0.2379 0.4125 [18 per cell]

* E: -2.870 eV/atom
* formation energy from raw total energies: 0.038 eV per atom
* N(E_F): 26.2 states/eV/cell

---

(3)
VASP calculation (PBE) on a geometry-optimized TlCdSb3 structure.

Lattice parameters (Å, degrees): 5.611 5.611 5.611 90.00 90.00 90.00
Space group Pm-3m (No. 221)
Unique sites:
Tl 0.000 0.000 0.000 [1 per cell]
Cd 0.500 0.500 0.500 [1 per cell]
Sb 0.000 0.500 0.500 [3 per cell]

* E: -2.574 eV/atom
* formation energy from raw total energies: 0.556 eV per atom
* N(E_F): 4.0 states/eV/cell

---

(4)
VASP calculation (PBE) on a geometry-optimized TlCdSb2 structure.

Lattice parameters (Å, degrees): 5.929 3.313 6.070 90.00 110.96 90.00
Space group P2/m (No. 10)
Unique sites:
Tl 0.000 0.000 0.000 [1 per cell]
Cd 0.500 0.500 0.000 [1 per cell]
Sb 0.000 0.500 0.500 [1 per cell]
Sb 0.500 0.000 0.500 [1 per cell]

* E: -2.739 eV/atom
* formation energy from raw total energies: 0.143 eV per atom
* N(E_F): 1.3 states/eV/cell